Compound: SiSb2OsI
Source: Alexandria
Functional: PBE
Structure: optimized geometry

Cell lengths 5.022, 5.022, 5.118 Å; angles 90.00, 90.00, 90.00 degrees
Space group P4/mmm (No. 123)
Inequivalent atoms, fractional coordinates:
Si (0.000, 0.000, 0.000)
Sb (0.000, 0.500, 0.000)
Os (0.500, 0.500, 0.500)
I (0.000, 0.000, 0.500)

Summary:
Fermi-level density of states, states/eV/f.u.: 3.58
Spin magnetization, μB per formula unit: 0.0
Energy relative to the elements, uncorrected, eV per formula unit: 8.22

=====

Compound: SiSbOsI2
Source: Alexandria
Functional: PBE
Structure: optimized geometry

Cell lengths 5.499, 5.499, 5.022 Å; angles 90.00, 90.00, 90.00 degrees
Space group P4/mmm (No. 123)
Inequivalent atoms, fractional coordinates:
Si (0.000, 0.000, 0.000)
Sb (0.500, 0.500, 0.000)
Os (0.500, 0.500, 0.500)
I (0.000, 0.500, 0.500)

Summary:
Fermi-level density of states, states/eV/f.u.: 4.62
Spin magnetization, μB per formula unit: 0.7
Energy relative to the elements, uncorrected, eV per formula unit: 5.38

=====

Compound: SiSb2OsI
Source: Alexandria
Functional: PBE
Structure: optimized geometry

Cell lengths 5.349, 5.349, 4.613 Å; angles 90.00, 90.00, 90.00 degrees
Space group P4/mmm (No. 123)
Inequivalent atoms, fractional coordinates:
Si (0.000, 0.000, 0.000)
Sb (0.000, 0.500, 0.500)
Os (0.000, 0.000, 0.500)
I (0.500, 0.500, 0.000)

Summary:
Fermi-level density of states, states/eV/f.u.: 7.56
Spin magnetization, μB per formula unit: 0.0
Energy relative to the elements, uncorrected, eV per formula unit: 2.28

=====

Compound: SiSb2OsI
Source: Alexandria
Functional: PBE
Structure: optimized geometry

Cell lengths 5.037, 5.037, 5.747 Å; angles 90.00, 90.00, 90.00 degrees
Space group P4/mmm (No. 123)
Inequivalent atoms, fractional coordinates:
Si (0.000, 0.000, 0.000)
Sb (0.000, 0.500, 0.500)
Os (0.500, 0.500, 0.500)
I (0.500, 0.500, 0.000)

Summary:
Fermi-level density of states, states/eV/f.u.: 4.15
Spin magnetization, μB per formula unit: 0.0
Energy relative to the elements, uncorrected, eV per formula unit: 4.94